(1)
{"formula": "La2Nd5Sc", "functional": "PBE-GGA", "state": "optimized geometry", "mass_density_g_cm3": 6.2, "energy_ev_per_atom": -4.8869, "ef_ev_per_atom": 0.116, "cell": [[5.7355, 0.0000, 0.0000], [-2.8678, 6.0183, 0.0000], [0.0000, 0.0000, 16.1642]], "species": ["Nd", "Nd", "Nd", "La", "La", "Nd", "Nd", "Nd", "Sc", "La", "Nd", "Sc", "Nd", "Nd", "La", "Nd"], "frac_coords": [[0.3819, 0.7639, 0.0528], [0.9219, 0.8438, 0.9054], [0.6181, 0.2361, 0.9472], [0.7799, 0.5598, 0.1352], [0.2201, 0.4402, 0.8648], [0.0781, 0.1562, 0.0946], [0.6181, 0.2361, 0.5528], [0.4713, 0.9426, 0.7500], [0.7437, 0.4873, 0.7500], [0.7799, 0.5598, 0.3648], [0.9219, 0.8438, 0.5946], [0.2563, 0.5127, 0.2500], [0.5287, 0.0574, 0.2500], [0.0781, 0.1562, 0.4054], [0.2201, 0.4402, 0.6352], [0.3819, 0.7639, 0.4472]]}


(2)
{"formula": "La7Nd12Sc", "functional": "PBE-GGA", "state": "optimized geometry", "mass_density_g_cm3": 6.5, "energy_ev_per_atom": -4.7711, "ef_ev_per_atom": 0.131, "cell": [[9.4969, -0.1256, -0.1885], [-2.7614, 9.0875, -0.1885], [-2.7613, -3.6741, 8.3138]], "species": ["Nd", "Sc", "La", "La", "Nd", "La", "Nd", "Nd", "Nd", "Nd", "La", "La", "Nd", "Nd", "Nd", "Nd", "La", "Nd", "Nd", "La"], "frac_coords": [[0.6373, 0.9475, 0.7133], [0.0000, 0.0000, 0.0000], [0.3325, 0.0030, 0.8748], [0.0030, 0.8748, 0.3325], [0.7133, 0.6373, 0.9475], [0.8748, 0.3325, 0.0030], [0.2288, 0.6976, 0.4348], [0.6976, 0.4348, 0.2288], [0.4348, 0.2288, 0.6976], [0.2867, 0.3627, 0.0525], [0.9970, 0.1252, 0.6675], [0.1252, 0.6675, 0.9970], [0.9475, 0.7133, 0.6373], [0.7712, 0.3024, 0.5652], [0.3024, 0.5652, 0.7712], [0.5652, 0.7712, 0.3024], [0.5000, 0.5000, 0.5000], [0.3627, 0.0525, 0.2867], [0.0525, 0.2867, 0.3627], [0.6675, 0.9970, 0.1252]]}